No. 1
Entry from Alexandria via LeMat-Bulk: an optimized crystal structure of Cs3La2NdS6 (PBE-GGA).

Computed properties:
* total DFT energy (no corrections): -5.357 eV/atom
* SG: No. 12
* formation energy (no corrections): -1861.8 meV per atom
* magnetization: 0.00 Bohr magnetons per cell

abc: 7.480 7.480 8.457
angles: 98.48 98.48 120.00
Fractional positions:
1 Cs 0.000 0.000 0.000
2 Cs 0.333 0.667 0.000
3 Cs 0.667 0.333 0.000
4 La 0.167 0.833 0.500
5 La 0.833 0.167 0.500
6 Nd 0.500 0.500 0.500
7 S 0.108 0.438 0.314
8 S 0.233 0.233 0.687
9 S 0.438 0.108 0.314
10 S 0.562 0.892 0.686
11 S 0.767 0.767 0.313
12 S 0.892 0.562 0.686

=====

No. 2
Entry from Alexandria via LeMat-Bulk: an optimized crystal structure of Cs4LaNd3Se8 (PBE-GGA).

Computed properties:
* total DFT energy (no corrections): -4.907 eV/atom
* SG: No. 166
* formation energy (no corrections): -1749.3 meV per atom
* magnetization: 0.00 Bohr magnetons per cell

abc: 9.837 9.837 9.837
angles: 53.50 53.50 53.50
Fractional positions:
1 Cs 0.000 0.000 0.000
2 Cs 0.000 0.500 0.500
3 Cs 0.500 0.000 0.500
4 Cs 0.500 0.500 0.000
5 La 0.500 0.500 0.500
6 Nd 0.000 0.000 0.500
7 Nd 0.000 0.500 0.000
8 Nd 0.500 0.000 0.000
9 Se 0.227 0.732 0.732
10 Se 0.230 0.230 0.230
11 Se 0.268 0.268 0.773
12 Se 0.268 0.773 0.268
13 Se 0.732 0.227 0.732
14 Se 0.732 0.732 0.227
15 Se 0.770 0.770 0.770
16 Se 0.773 0.268 0.268

=====

No. 3
Entry from Alexandria via LeMat-Bulk: an optimized crystal structure of Cs2LaNdSe4 (PBE-GGA).

Computed properties:
* total DFT energy (no corrections): -4.938 eV/atom
* SG: No. 10
* formation energy (no corrections): -1770.3 meV per atom
* magnetization: 0.00 Bohr magnetons per cell

abc: 7.710 4.451 8.781
angles: 90.00 107.00 90.00
Fractional positions:
1 Cs 0.000 0.000 0.000
2 Cs 0.500 0.500 0.000
3 La 0.000 0.500 0.500
4 Nd 0.500 0.000 0.500
5 Se 0.234 0.000 0.691
6 Se 0.273 0.500 0.310
7 Se 0.727 0.500 0.690
8 Se 0.766 0.000 0.309

=====

No. 4
Entry from Alexandria via LeMat-Bulk: an optimized crystal structure of Cs4La3NdSe8 (PBE-GGA).

Computed properties:
* total DFT energy (no corrections): -4.969 eV/atom
* SG: No. 166
* formation energy (no corrections): -1791.4 meV per atom
* magnetization: 0.00 Bohr magnetons per cell

abc: 9.852 9.852 9.852
angles: 54.04 54.04 54.04
Fractional positions:
1 Cs 0.000 0.000 0.000
2 Cs 0.000 0.500 0.500
3 Cs 0.500 0.000 0.500
4 Cs 0.500 0.500 0.000
5 La 0.000 0.000 0.500
6 La 0.000 0.500 0.000
7 La 0.500 0.000 0.000
8 Nd 0.500 0.500 0.500
9 Se 0.230 0.230 0.230
10 Se 0.234 0.728 0.728
11 Se 0.272 0.272 0.766
12 Se 0.272 0.766 0.272
13 Se 0.728 0.234 0.728
14 Se 0.728 0.728 0.234
15 Se 0.766 0.272 0.272
16 Se 0.770 0.770 0.770

=====

No. 5
Entry from Alexandria via LeMat-Bulk: an optimized crystal structure of Cs3LaNd2Te6 (PBE-GGA).

Computed properties:
* total DFT energy (no corrections): -4.433 eV/atom
* SG: No. 12
* formation energy (no corrections): -1443.3 meV per atom
* magnetization: 0.00 Bohr magnetons per cell

abc: 8.156 8.156 9.349
angles: 98.36 98.36 120.00
Fractional positions:
1 Cs 0.000 0.000 0.000
2 Cs 0.334 0.666 0.000
3 Cs 0.666 0.334 0.000
4 La 0.500 0.500 0.500
5 Nd 0.167 0.833 0.500
6 Nd 0.833 0.167 0.500
7 Te 0.098 0.435 0.305
8 Te 0.228 0.228 0.695
9 Te 0.435 0.098 0.305
10 Te 0.565 0.902 0.695
11 Te 0.772 0.772 0.305
12 Te 0.902 0.565 0.695

=====

No. 6
Entry from Alexandria via LeMat-Bulk: an optimized crystal structure of CsLa2Nd3Te6 (PBE-GGA).

Computed properties:
* total DFT energy (no corrections): -5.067 eV/atom
* SG: No. 12
* formation energy (no corrections): -1412.1 meV per atom
* magnetization: 0.00 Bohr magnetons per cell

abc: 10.395 10.395 9.505
angles: 103.78 103.78 25.26
Fractional positions:
1 Cs 0.000 0.000 0.000
2 La 0.330 0.330 0.660
3 La 0.670 0.670 0.340
4 Nd 0.000 0.000 0.500
5 Nd 0.339 0.339 0.181
6 Nd 0.661 0.661 0.819
7 Te 0.164 0.164 0.584
8 Te 0.178 0.178 0.083
9 Te 0.497 0.497 0.724
10 Te 0.503 0.503 0.276
11 Te 0.822 0.822 0.917
12 Te 0.836 0.836 0.416

=====

No. 7
Entry from Alexandria via LeMat-Bulk: an optimized crystal structure of CsLa2Ni (PBE-GGA).

Computed properties:
* offset from the most stable computed form: 0.0000 eV per atom
* total DFT energy (no corrections): -3.777 eV/atom
* calculated formation energy: 0.346 eV per atom
* SG: No. 122
* magnetization: 0.03 Bohr magnetons per cell

abc: 7.545 7.545 7.545
angles: 106.04 106.04 116.58
Fractional positions:
1 Cs 0.000 0.000 0.000
2 Cs 0.750 0.250 0.500
3 La 0.258 0.625 0.133
4 La 0.375 0.508 0.633
5 La 0.492 0.125 0.867
6 La 0.875 0.742 0.367
7 Ni 0.250 0.750 0.500
8 Ni 0.500 0.500 0.000

=====

No. 8
Entry from Alexandria via LeMat-Bulk: an optimized crystal structure of CsLa2Ni (PBE-GGA).

Computed properties:
* offset from the most stable computed form: 0.2039 eV per atom
* total DFT energy (no corrections): -3.573 eV/atom
* calculated formation energy: 0.549 eV per atom
* SG: No. 225
* magnetization: 0.00 Bohr magnetons per cell

abc: 5.501 5.501 5.501
angles: 60.00 60.00 60.00
Fractional positions:
1 Cs 0.000 0.000 0.000
2 La 0.250 0.250 0.250
3 La 0.750 0.750 0.750
4 Ni 0.500 0.500 0.500

=====

No. 9
Entry from Alexandria via LeMat-Bulk: an optimized crystal structure of CsLa2NiOs (PBE-GGA).

Computed properties:
* total DFT energy (no corrections): -3.586 eV/atom
* calculated formation energy: 1.958 eV per atom
* SG: No. 123
* magnetization: 0.57 Bohr magnetons per cell

abc: 5.819 5.819 4.887
angles: 90.00 90.00 90.00
Fractional positions:
1 Cs 0.000 0.000 0.000
2 La 0.000 0.500 0.000
3 La 0.500 0.000 0.000
4 Ni 0.500 0.500 0.500
5 Os 0.000 0.000 0.500

=====

No. 10
Entry from Alexandria via LeMat-Bulk: an optimized crystal structure of CsLaNi2Os (PBE-GGA).

Computed properties:
* total DFT energy (no corrections): -4.595 eV/atom
* calculated formation energy: 1.120 eV per atom
* SG: No. 123
* magnetization: 0.72 Bohr magnetons per cell

abc: 4.749 4.749 5.294
angles: 90.00 90.00 90.00
Fractional positions:
1 Cs 0.000 0.000 0.000
2 La 0.500 0.500 0.000
3 Ni 0.000 0.500 0.500
4 Ni 0.500 0.000 0.500
5 Os 0.000 0.000 0.500

=====

No. 11
Entry from Alexandria via LeMat-Bulk: an optimized crystal structure of CsLaNiSe2 (PBE-GGA).

Computed properties:
* total DFT energy (no corrections): -4.156 eV/atom
* SG: No. 123
* formation energy (no corrections): -449.7 meV per atom
* magnetization: 0.98 Bohr magnetons per cell

abc: 5.867 5.867 5.370
angles: 90.00 90.00 90.00
Fractional positions:
1 Cs 0.000 0.000 0.000
2 La 0.500 0.500 0.500
3 Ni 0.500 0.500 0.000
4 Se 0.000 0.500 0.500
5 Se 0.500 0.000 0.500

=====

No. 12
Entry from Alexandria via LeMat-Bulk: an optimized crystal structure of Cs2LaTcNi (PBE-GGA).

Computed properties:
* total DFT energy (no corrections): -2.991 eV/atom
* calculated formation energy: 1.565 eV per atom
* SG: No. 123
* magnetization: 3.69 Bohr magnetons per cell

abc: 7.296 7.296 4.646
angles: 90.00 90.00 90.00
Fractional positions:
1 Cs 0.000 0.500 0.000
2 Cs 0.500 0.000 0.000
3 La 0.000 0.000 0.000
4 Tc 0.500 0.500 0.500
5 Ni 0.000 0.000 0.500

=====

No. 13
Entry from Alexandria via LeMat-Bulk: an optimized crystal structure of Cs3LaNp2O9 (PBE-GGA).

Computed properties:
* total DFT energy (no corrections): -7.831 eV/atom
* SG: No. 164
* formation energy (no corrections): -2631.2 meV per atom
* magnetization: 2.00 Bohr magnetons per cell

abc: 6.318 6.318 7.743
angles: 90.00 90.00 120.00
Fractional positions:
1 Cs 0.000 0.000 0.000
2 Cs 0.333 0.667 0.663
3 Cs 0.667 0.333 0.337
4 La 0.000 0.000 0.500
5 Np 0.333 0.667 0.159
6 Np 0.667 0.333 0.841
7 O 0.000 0.500 0.000
8 O 0.182 0.364 0.312
9 O 0.182 0.818 0.312
10 O 0.364 0.182 0.688
11 O 0.500 0.000 0.000
12 O 0.500 0.500 0.000
13 O 0.636 0.818 0.312
14 O 0.818 0.182 0.688
15 O 0.818 0.636 0.688

=====

No. 14
Entry from Alexandria via LeMat-Bulk: an optimized crystal structure of CsLa2NpO8 (PBE-GGA).

Computed properties:
* total DFT energy (no corrections): -7.887 eV/atom
* SG: No. 10
* formation energy (no corrections): -2611.2 meV per atom
* magnetization: 0.00 Bohr magnetons per cell

abc: 4.243 8.489 5.542
angles: 90.00 93.79 90.00
Fractional positions:
1 Cs 0.000 0.000 0.000
2 La 0.500 0.282 0.500
3 La 0.500 0.718 0.500
4 Np 0.000 0.500 0.000
5 O 0.051 0.318 0.766
6 O 0.051 0.682 0.766
7 O 0.408 0.000 0.381
8 O 0.433 0.500 0.224
9 O 0.567 0.500 0.776
10 O 0.592 0.000 0.619
11 O 0.949 0.318 0.234
12 O 0.949 0.682 0.234

=====

No. 15
Entry from Alexandria via LeMat-Bulk: an optimized crystal structure of Cs3La3NpO8 (PBE-GGA).

Computed properties:
* total DFT energy (no corrections): -7.348 eV/atom
* SG: No. 166
* formation energy (no corrections): -2684.5 meV per atom
* magnetization: 3.00 Bohr magnetons per cell

abc: 8.216 8.216 8.216
angles: 53.79 53.79 53.79
Fractional positions:
1 Cs 0.000 0.500 0.500
2 Cs 0.500 0.000 0.500
3 Cs 0.500 0.500 0.000
4 La 0.000 0.000 0.500
5 La 0.000 0.500 0.000
6 La 0.500 0.000 0.000
7 Np 0.500 0.500 0.500
8 O 0.221 0.221 0.221
9 O 0.244 0.706 0.706
10 O 0.294 0.294 0.756
11 O 0.294 0.756 0.294
12 O 0.706 0.244 0.706
13 O 0.706 0.706 0.244
14 O 0.756 0.294 0.294
15 O 0.779 0.779 0.779

=====

No. 16
Entry from Alexandria via LeMat-Bulk: an optimized crystal structure of Cs3La2NpO6 (PBE-GGA).

Computed properties:
* total DFT energy (no corrections): -7.018 eV/atom
* SG: No. 12
* formation energy (no corrections): -2425.6 meV per atom
* magnetization: 3.72 Bohr magnetons per cell

abc: 6.467 6.467 7.283
angles: 98.51 98.51 119.99
Fractional positions:
1 Cs 0.000 0.000 0.000
2 Cs 0.333 0.667 0.000
3 Cs 0.667 0.333 0.000
4 La 0.167 0.833 0.500
5 La 0.833 0.167 0.500
6 Np 0.500 0.500 0.500
7 O 0.131 0.446 0.339
8 O 0.239 0.239 0.662
9 O 0.446 0.131 0.339
10 O 0.554 0.869 0.661
11 O 0.761 0.761 0.338
12 O 0.869 0.554 0.661

=====

No. 17
Entry from Alexandria via LeMat-Bulk: an optimized crystal structure of CsLaNpO6 (PBE-GGA).

Computed properties:
* total DFT energy (no corrections): -7.877 eV/atom
* SG: No. 149
* formation energy (no corrections): -2491.0 meV per atom
* magnetization: 1.07 Bohr magnetons per cell

abc: 6.162 6.162 6.252
angles: 90.00 90.00 120.00
Fractional positions:
1 Cs 0.000 0.000 0.000
2 La 0.333 0.667 0.500
3 Np 0.667 0.333 0.500
4 O 0.409 0.048 0.674
5 O 0.409 0.361 0.326
6 O 0.639 0.048 0.326
7 O 0.639 0.591 0.674
8 O 0.952 0.361 0.674
9 O 0.952 0.591 0.326

=====

No. 18
Entry from Alexandria via LeMat-Bulk: an optimized crystal structure of Cs2La2NpO6 (PBE-GGA).

Computed properties:
* total DFT energy (no corrections): -7.646 eV/atom
* SG: No. 12
* formation energy (no corrections): -2714.3 meV per atom
* magnetization: 3.00 Bohr magnetons per cell

abc: 6.372 6.372 7.329
angles: 97.98 97.98 119.75
Fractional positions:
1 Cs 0.167 0.833 0.000
2 Cs 0.833 0.167 0.000
3 La 0.334 0.666 0.500
4 La 0.666 0.334 0.500
5 Np 0.000 0.000 0.500
6 O 0.043 0.363 0.655
7 O 0.250 0.250 0.343
8 O 0.363 0.043 0.655
9 O 0.637 0.957 0.345
10 O 0.750 0.750 0.657
11 O 0.957 0.637 0.345

=====

No. 19
Entry from Alexandria via LeMat-Bulk: an optimized crystal structure of Cs2LaNp3O12 (PBE-GGA).

Computed properties:
* total DFT energy (no corrections): -8.592 eV/atom
* SG: No. 166
* formation energy (no corrections): -2761.1 meV per atom
* magnetization: 2.00 Bohr magnetons per cell

abc: 7.898 7.898 7.898
angles: 61.55 61.55 61.55
Fractional positions:
1 Cs 0.119 0.119 0.119
2 Cs 0.881 0.881 0.881
3 La 0.500 0.500 0.500
4 Np 0.000 0.500 0.500
5 Np 0.500 0.000 0.500
6 Np 0.500 0.500 0.000
7 O 0.139 0.582 0.582
8 O 0.198 0.198 0.574
9 O 0.198 0.574 0.198
10 O 0.418 0.418 0.861
11 O 0.418 0.861 0.418
12 O 0.426 0.802 0.802
13 O 0.574 0.198 0.198
14 O 0.582 0.139 0.582
15 O 0.582 0.582 0.139
16 O 0.802 0.426 0.802
17 O 0.802 0.802 0.426
18 O 0.861 0.418 0.418

=====

No. 20
Entry from Alexandria via LeMat-Bulk: an optimized crystal structure of CsLa2NpS5 (PBE-GGA).

Computed properties:
* total DFT energy (no corrections): -6.695 eV/atom
* SG: No. 71
* formation energy (no corrections): -1774.2 meV per atom
* magnetization: 4.00 Bohr magnetons per cell

abc: 8.403 8.403 8.403
angles: 144.77 127.69 64.65
Fractional positions:
1 Cs 0.000 0.000 0.000
2 La 0.292 0.792 0.500
3 La 0.708 0.208 0.500
4 Np 0.500 0.500 0.000
5 S 0.118 0.348 0.771
6 S 0.423 0.652 0.771
7 S 0.500 0.000 0.500
8 S 0.577 0.348 0.229
9 S 0.882 0.652 0.229

=====

No. 21
Entry from Alexandria via LeMat-Bulk: an optimized crystal structure of Cs2LaNp2S7 (PBE-GGA).

Computed properties:
* total DFT energy (no corrections): -6.491 eV/atom
* SG: No. 139
* formation energy (no corrections): -1373.6 meV per atom
* magnetization: 5.00 Bohr magnetons per cell

abc: 14.254 14.254 14.254
angles: 159.09 159.09 29.73
Fractional positions:
1 Cs 0.187 0.187 0.000
2 Cs 0.813 0.813 0.000
3 La 0.000 0.000 0.000
4 Np 0.409 0.409 0.000
5 Np 0.591 0.591 0.000
6 S 0.072 0.572 0.500
7 S 0.318 0.318 0.000
8 S 0.428 0.928 0.500
9 S 0.500 0.500 0.000
10 S 0.572 0.072 0.500
11 S 0.682 0.682 0.000
12 S 0.928 0.428 0.500

=====

No. 22
Entry from Alexandria via LeMat-Bulk: an optimized crystal structure of Cs3LaNp2S6 (PBE-GGA).

Computed properties:
* total DFT energy (no corrections): -6.358 eV/atom
* SG: No. 12
* formation energy (no corrections): -1513.6 meV per atom
* magnetization: 8.00 Bohr magnetons per cell

abc: 7.304 7.304 8.428
angles: 98.31 98.31 119.99
Fractional positions:
1 Cs 0.000 0.000 0.000
2 Cs 0.336 0.664 0.000
3 Cs 0.664 0.336 0.000
4 La 0.500 0.500 0.500
5 Np 0.167 0.833 0.500
6 Np 0.833 0.167 0.500
7 S 0.094 0.439 0.317
8 S 0.215 0.215 0.682
9 S 0.439 0.094 0.317
10 S 0.561 0.906 0.683
11 S 0.785 0.785 0.318
12 S 0.906 0.561 0.683